# 1
Density functional theory data (PBE-GGA) for a relaxed Tb2Sm3Mg crystal.

The structure in POSCAR format:
```
Tb2Sm3Mg
1.0
2.503 -7.626 0.000
2.503 7.626 0.000
0.000 0.000 4.952
Tb Sm Mg
2 3 1
Direct
0.165 0.835 0.000
0.835 0.165 0.000
0.000 0.000 0.500
0.331 0.669 0.500
0.669 0.331 0.500
0.500 0.500 0.000
```

Symmetry: Cmmm, No. 65
Calculated volume: 31.5 Å³/atom
DFT formation energy: 0.008 eV per atom
Total moment: 0.00 μB/f.u.


# 2
Density functional theory data (PBE-GGA) for a relaxed Tb5YGa4 crystal.

The structure in POSCAR format:
```
Tb5YGa4
1.0
8.640 -1.850 0.000
8.640 1.850 0.000
-0.841 0.000 8.700
Tb Y Ga
5 1 4
Direct
0.000 0.000 0.000
0.313 0.313 0.155
0.350 0.350 0.718
0.650 0.650 0.282
0.687 0.687 0.845
0.000 0.000 0.500
0.187 0.187 0.558
0.478 0.478 0.244
0.522 0.522 0.756
0.813 0.813 0.442
```

Symmetry: C2/m, No. 12
Calculated volume: 27.8 Å³/atom
DFT formation energy: -0.293 eV per atom
Total moment: 0.00 μB/f.u.


# 3
Density functional theory data (PBE-GGA) for a relaxed HoScCoGe crystal.

The structure in POSCAR format:
```
HoScCoGe
1.0
0.000 3.350 3.350
3.350 0.000 3.350
3.350 3.350 0.000
Ho Sc Co Ge
1 1 1 1
Direct
0.000 0.000 0.000
0.500 0.500 0.500
0.250 0.250 0.250
0.750 0.750 0.750
```

Symmetry: F-43m, No. 216
Calculated volume: 18.8 Å³/atom
DFT formation energy: -0.441 eV per atom
Total moment: 0.77 μB/f.u.


# 4
Density functional theory data (PBE-GGA) for a relaxed InGePdPt crystal.

The structure in POSCAR format:
```
InGePdPt
1.0
0.000 3.257 3.257
3.257 0.000 3.257
3.257 3.257 0.000
In Ge Pd Pt
1 1 1 1
Direct
0.000 0.000 0.000
0.500 0.500 0.500
0.250 0.250 0.250
0.750 0.750 0.750
```

Symmetry: F-43m, No. 216
Calculated volume: 17.3 Å³/atom
DFT formation energy: -0.320 eV per atom
Total moment: 0.00 μB/f.u.


# 5
Density functional theory data (PBE-GGA) for a relaxed Y8TlPb5 crystal.

The structure in POSCAR format:
```
Y8TlPb5
1.0
-4.702 4.702 4.711
4.702 -4.702 4.711
4.702 4.702 -4.711
Y Tl Pb
8 1 5
Direct
0.015 0.127 0.750
0.234 0.483 0.609
0.375 0.766 0.249
0.377 0.265 0.250
0.517 0.126 0.751
0.735 0.985 0.112
0.873 0.623 0.888
0.874 0.625 0.391
0.750 0.250 0.500
0.000 0.375 0.126
0.126 0.000 0.375
0.249 0.874 0.874
0.500 0.500 0.000
0.625 0.751 0.625
```

Symmetry: I-4, No. 82
Calculated volume: 29.8 Å³/atom
DFT formation energy: -0.531 eV per atom
Total moment: 0.00 μB/f.u.


# 6
Density functional theory data (PBE-GGA) for a relaxed NaHgRu2F crystal.

The structure in POSCAR format:
```
NaHgRu2F
1.0
5.137 0.000 0.000
0.000 5.137 0.000
0.000 0.000 5.165
Na Hg Ru F
1 1 2 1
Direct
0.000 0.000 0.000
0.500 0.500 0.500
0.000 0.500 0.500
0.500 0.000 0.500
0.500 0.500 0.000
```

Symmetry: P4/mmm, No. 123
Calculated volume: 27.3 Å³/atom
Formation energy without anion corrections: 1.139 eV/atom
Total moment: 4.95 μB/f.u.


# 7
Density functional theory data (PBE-GGA) for a relaxed Pr4Sm2Dy2Tm crystal.

The structure in POSCAR format:
```
Pr4Sm2Dy2Tm
1.0
7.725 -2.575 0.000
7.725 2.575 0.000
-2.585 0.000 7.671
Pr Sm Dy Tm
4 2 2 1
Direct
0.054 0.054 0.330
0.278 0.278 0.670
0.722 0.722 0.330
0.946 0.946 0.670
0.388 0.388 0.329
0.612 0.612 0.671
0.167 0.167 0.000
0.833 0.833 0.000
0.500 0.500 0.000
```

Symmetry: C2/m, No. 12
Calculated volume: 33.9 Å³/atom
DFT formation energy: 0.023 eV per atom
Total moment: 0.00 μB/f.u.


# 8
Density functional theory data (PBE-GGA) for a relaxed LuInBi2 crystal.

The structure in POSCAR format:
```
LuInBi2
1.0
4.146 0.000 0.000
0.000 4.146 0.000
0.000 0.000 6.744
Lu In Bi
1 1 2
Direct
0.000 0.000 0.000
0.000 0.000 0.500
0.500 0.500 0.236
0.500 0.500 0.764
```

Symmetry: P4/mmm, No. 123
Calculated volume: 29.0 Å³/atom
DFT formation energy: -0.302 eV per atom
Total moment: 0.00 μB/f.u.


# 9
Density functional theory data (PBE-GGA) for a relaxed Li2CoW crystal.

The structure in POSCAR format:
```
Li2CoW
1.0
2.682 0.000 0.000
0.000 4.224 0.000
0.000 0.000 4.727
Li Co W
2 1 1
Direct
0.000 0.000 0.000
0.500 0.500 0.000
0.000 0.500 0.500
0.500 0.000 0.500
```

Symmetry: Pmmm, No. 47
Calculated volume: 13.4 Å³/atom
DFT formation energy: 0.337 eV per atom
Total moment: 0.00 μB/f.u.


# 10
Density functional theory data (PBE-GGA) for a relaxed ScBe3Ru crystal.

The structure in POSCAR format:
```
ScBe3Ru
1.0
4.159 0.000 0.000
0.000 4.159 0.000
0.000 0.000 4.159
Sc Be Ru
1 3 1
Direct
0.000 0.000 0.000
0.000 0.500 0.500
0.500 0.000 0.500
0.500 0.500 0.000
0.500 0.500 0.500
```

Symmetry: Pm-3m, No. 221
Calculated volume: 14.4 Å³/atom
DFT formation energy: 0.039 eV per atom
Total moment: 0.00 μB/f.u.


# 11
Density functional theory data (PBE-GGA) for a relaxed MnTcBr2 crystal.

The structure in POSCAR format:
```
MnTcBr2
1.0
1.592 0.919 8.086
-1.592 0.919 8.086
0.000 -1.838 8.086
Mn Tc Br
1 1 2
Direct
0.000 0.000 0.000
0.500 0.500 0.500
0.400 0.400 0.400
0.600 0.600 0.600
```

Symmetry: R-3m, No. 166
Calculated volume: 17.7 Å³/atom
Formation energy without anion corrections: 0.837 eV/atom
Total moment: 0.03 μB/f.u.


# 12
Density functional theory data (PBE-GGA) for a relaxed Ac2Er3Tl4 crystal.

The structure in POSCAR format:
```
Ac2Er3Tl4
1.0
8.569 0.000 0.000
0.000 8.491 0.000
-2.641 0.000 7.829
Ac Er Tl
4 6 8
Direct
0.191 0.177 0.066
0.191 0.323 0.566
0.809 0.677 0.434
0.809 0.823 0.934
0.250 0.664 0.249
0.250 0.836 0.749
0.500 0.000 0.500
0.500 0.500 0.000
0.750 0.164 0.251
0.750 0.336 0.751
0.083 0.544 0.857
0.083 0.956 0.357
0.499 0.629 0.634
0.499 0.871 0.134
0.501 0.129 0.866
0.501 0.371 0.366
0.917 0.044 0.643
0.917 0.456 0.143
```

Symmetry: P2_1/c, No. 14
Calculated volume: 31.6 Å³/atom
DFT formation energy: -0.358 eV per atom
Total moment: 0.00 μB/f.u.